[1]
Density functional theory data (PBE) for a relaxed structure of SrYP2.

Results
calculated density	4.19	g/cm³
total DFT energy (no corrections)	-44.18	eV/cell
energy relative to the elements	-781	meV/atom

The structure in CIF format:
```
data_SrYP2
_chemical_formula_sum 'Sr2 Y2 P4'
_space_group_name_H-M_alt 'I -4 m 2'
_space_group_IT_number 119
_space_group_name_Hall 'I -4 -2'
_cell_length_a 4.137
_cell_length_b 4.137
_cell_length_c 11.033
_cell_angle_alpha 90.00
_cell_angle_beta 90.00
_cell_angle_gamma 90.00
loop_
_atom_site_label
_atom_site_fract_x
_atom_site_fract_y
_atom_site_fract_z
Sr1 0.000 0.000 0.000
Y1 0.000 0.500 0.750
P1 0.000 0.000 0.500
P2 0.000 0.500 0.250
```



[2]
Density functional theory data (PBE) for a relaxed structure of HgAsSe2.

Results
calculated density	7.30	g/cm³
total DFT energy (no corrections)	-12.06	eV/cell
formation energy (no corrections)	-0.035	eV per atom

The structure in CIF format:
```
data_HgAsSe2
_chemical_formula_sum 'Hg1 As1 Se2'
_space_group_name_H-M_alt 'P 4 m m'
_space_group_IT_number 99
_cell_length_a 4.045
_cell_length_b 4.045
_cell_length_c 6.025
_cell_angle_alpha 90.00
_cell_angle_beta 90.00
_cell_angle_gamma 90.00
loop_
_space_group_symop_operation_xyz
'x,y,z'
'-y,x,z'
'-x,-y,z'
'y,-x,z'
'-x,y,z'
'y,x,z'
'x,-y,z'
'-y,-x,z'
loop_
_atom_site_label
_atom_site_fract_x
_atom_site_fract_y
_atom_site_fract_z
Hg1 0.000 0.000 0.000
As1 0.500 0.500 0.495
Se1 0.000 0.000 0.533
Se2 0.500 0.500 0.099
```



[3]
Density functional theory data (PBE) for a relaxed structure of K2MgZnCl6.

Results
calculated density	2.56	g/cm³
total DFT energy (no corrections)	-97.79	eV/cell
formation energy (no corrections)	-1.645	eV per atom

The structure in CIF format:
```
data_K2MgZnCl6
_chemical_formula_sum 'K6 Mg3 Zn3 Cl18'
_space_group_name_H-M_alt 'R -3'
_space_group_IT_number 148
_space_group_name_Hall '-R 3'
_cell_length_a 7.0652
_cell_length_b 7.0652
_cell_length_c 17.1023
_cell_angle_alpha 90.00
_cell_angle_beta 90.00
_cell_angle_gamma 120.00
loop_
_atom_site_label
_atom_site_fract_x
_atom_site_fract_y
_atom_site_fract_z
K1 0.0000 0.0000 0.2494
Mg1 0.0000 0.0000 0.5000
Zn1 0.0000 0.0000 0.0000
Cl1 0.0023 0.5517 0.7495
```



Q: What is the formula in the first record?
A: SrYP2



Q: total DFT energy (no corrections) of number 2 (HgAsSe2)?
A: -12.06 eV/cell



Q: What is the formula in the second record?
A: HgAsSe2